# 1
Compound: CoTcSCl2
Source: Alexandria via LeMat-Bulk
Functional: PBE
Structure: relaxed

* formation energy without anion corrections: 270 kJ/mol of formula units
* energy above the most stable polymorph in this dataset: 3.5 kJ/mol of atoms
* size of the total moment: 3.25 μB per formula unit
* electronic total energy: -4.498 eV/atom
* space-group type: P4/mmm, No. 123

a = 4.921 Å, b = 4.921 Å, c = 4.472 Å
α = 90.00°, β = 90.00°, γ = 90.00°
Atoms (fractional coordinates):
Co: 0.000 0.000 0.000
Tc: 0.500 0.500 0.500
S: 0.500 0.500 0.000
Cl: 0.000 0.500 0.500
Cl: 0.500 0.000 0.500

# 2
Compound: CoTeS2Cl
Source: Alexandria via LeMat-Bulk
Functional: PBE
Structure: relaxed

* formation energy without anion corrections: 94 kJ/mol of formula units
* energy above the most stable polymorph in this dataset: 0.0 kJ/mol of atoms
* size of the total moment: 0.57 μB per formula unit
* electronic total energy: -3.875 eV/atom
* space-group type: P4/mmm, No. 123

a = 4.540 Å, b = 4.540 Å, c = 4.472 Å
α = 90.00°, β = 90.00°, γ = 90.00°
Atoms (fractional coordinates):
Co: 0.000 0.000 0.000
Te: 0.500 0.500 0.500
S: 0.000 0.500 0.000
S: 0.500 0.000 0.000
Cl: 0.000 0.000 0.500

# 3
Compound: CoTeSCl2
Source: Alexandria via LeMat-Bulk
Functional: PBE
Structure: relaxed

* formation energy without anion corrections: 51 kJ/mol of formula units
* energy above the most stable polymorph in this dataset: 0.0 kJ/mol of atoms
* size of the total moment: 1.31 μB per formula unit
* electronic total energy: -3.508 eV/atom
* space-group type: P4/mmm, No. 123

a = 4.537 Å, b = 4.537 Å, c = 4.730 Å
α = 90.00°, β = 90.00°, γ = 90.00°
Atoms (fractional coordinates):
Co: 0.000 0.000 0.000
Te: 0.500 0.500 0.500
S: 0.000 0.000 0.500
Cl: 0.000 0.500 0.000
Cl: 0.500 0.000 0.000

Which formula does entry 1 have?
CoTcSCl2

Which of these has the lowest electronic total energy?
CoTcSCl2

Which of these has the highest formation energy without anion corrections?
CoTcSCl2